No. 1
Below is a geometry-optimized Pm2ErSi3Pt12 structure, with properties calculated at the PBE-GGA level.

The electronic total energy comes out at -112.95 eV for the cell shown. The raw formation energy is -0.563 eV per atom.

Cell: 7.686 7.686 7.686 Å, 65.68 65.68 65.68°
Atoms (fractional coordinates):
Pm  0.599  0.599  0.599
Pm  0.401  0.401  0.401
Er  0.000  0.000  0.000
Si  0.500  0.000  0.000
Si  0.000  0.500  0.000
Si  0.000  0.000  0.500
Pt  0.350  0.350  0.899
Pt  0.855  0.855  0.398
Pt  0.398  0.855  0.855
Pt  0.899  0.350  0.350
Pt  0.855  0.398  0.855
Pt  0.350  0.899  0.350
Pt  0.650  0.650  0.101
Pt  0.145  0.145  0.602
Pt  0.602  0.145  0.145
Pt  0.101  0.650  0.650
Pt  0.145  0.602  0.145
Pt  0.650  0.101  0.650

=====

No. 2
Below is a geometry-optimized PmErSnPt structure, with properties calculated at the PBE-GGA level.

The electronic total energy comes out at -22.63 eV for the cell shown. The energy of formation from the pure elements comes out at -316 kJ/mol of formula units.

Cell: 5.195 5.195 5.195 Å, 60.00 60.00 60.00°
Atoms (fractional coordinates):
Pm  0.250  0.250  0.250
Sn  0.000  0.000  0.000
Pt  0.500  0.500  0.500
Er  0.750  0.750  0.750

=====

No. 3
Below is a geometry-optimized PmErZnPt structure, with properties calculated at the PBE-GGA level.

The electronic total energy comes out at -19.77 eV for the cell shown. The value obtained for the distance to the lowest polymorph of the same formula is 0.000 eV per atom. The energy of formation from the pure elements comes out at -303 kJ/mol of formula units.

Cell: 3.872 4.445 5.766 Å, 90.00 109.62 90.00°
Atoms (fractional coordinates):
Pm  0.857  0.500  0.714
Er  0.139  0.000  0.278
Zn  0.427  0.000  0.854
Pt  0.577  0.500  0.154

=====

No. 4
Below is a geometry-optimized PmErZnPt structure, with properties calculated at the PBE-GGA level.

The electronic total energy comes out at -19.62 eV for the cell shown. The value obtained for the distance to the lowest polymorph of the same formula is 0.038 eV per atom. The energy of formation from the pure elements comes out at -288 kJ/mol of formula units.

Cell: 5.030 5.030 5.030 Å, 60.00 60.00 60.00°
Atoms (fractional coordinates):
Zn  0.250  0.250  0.250
Pm  0.000  0.000  0.000
Pt  0.750  0.750  0.750
Er  0.500  0.500  0.500

=====

No. 5
Below is a geometry-optimized Pm8Er6Pu structure, with properties calculated at the PBE-GGA level.

The electronic total energy comes out at -77.73 eV for the cell shown. The energy of formation from the pure elements comes out at 191 kJ/mol of formula units.

Cell: 5.855 9.856 9.856 Å, 120.00 90.00 90.00°
Each line ends with the local moment (μB).
Atoms (fractional coordinates):
Pm  0.760  0.051  0.266  0.03
Pm  0.760  0.734  0.785  0.03
Pm  0.760  0.215  0.949  0.03
Pm  0.240  0.949  0.734  0.03
Pm  0.240  0.266  0.215  0.03
Pm  0.240  0.785  0.051  0.03
Pm  0.765  0.333  0.667  -0.09
Pm  0.235  0.667  0.333  -0.09
Er  0.748  0.618  0.094  -0.13
Er  0.748  0.906  0.524  -0.13
Er  0.748  0.476  0.382  -0.13
Er  0.252  0.382  0.906  -0.13
Er  0.252  0.094  0.476  -0.13
Er  0.252  0.524  0.618  -0.13
Pu  0.500  0.000  0.000  5.54

=====

No. 6
Below is a geometry-optimized PmErPu2 structure, with properties calculated at the PBE-GGA level.

The electronic total energy comes out at -37.19 eV for the cell shown. The value obtained for the distance to the lowest polymorph of the same formula is 0.005 eV per atom. The energy of formation from the pure elements comes out at 76 kJ/mol of formula units.

Cell: 5.048 4.840 4.840 Å, 90.00 90.00 90.00°
Each line ends with the local moment (μB).
Atoms (fractional coordinates):
Er  0.500  0.500  0.500  0.27
Pm  0.500  0.000  0.000  0.14
Pu  0.000  0.000  0.500  5.56
Pu  0.000  0.500  0.000  5.56

=====

No. 7
Below is a geometry-optimized Pm8Er5Pu structure, with properties calculated at the PBE-GGA level.

The electronic total energy comes out at -72.01 eV for the cell shown. The energy of formation from the pure elements comes out at 303 kJ/mol of formula units.

Cell: 9.963 7.486 9.963 Å, 113.09 114.20 113.14°
Each line ends with the local moment (μB).
Atoms (fractional coordinates):
Pm  0.086  0.659  0.063  0.01
Pm  0.916  0.969  0.614  0.05
Pm  0.766  0.327  0.437  0.01
Pm  0.459  0.322  0.788  0.05
Pm  0.466  0.678  0.137  0.05
Pm  0.644  0.031  0.947  0.05
Pm  0.404  0.341  0.427  0.01
Pm  0.111  0.673  0.440  0.01
Er  0.106  0.289  0.103  -0.03
Er  0.930  0.974  0.256  0.11
Er  0.814  0.711  0.817  -0.03
Er  0.558  0.000  0.558  -0.01
Er  0.281  0.026  0.955  0.11
Pu  0.208  0.500  0.708  5.71

=====

No. 8
Below is a geometry-optimized Pm2ErPu structure, with properties calculated at the PBE-GGA level.

The electronic total energy comes out at -27.81 eV for the cell shown. The value obtained for the distance to the lowest polymorph of the same formula is 0.036 eV per atom. The energy of formation from the pure elements comes out at 57 kJ/mol of formula units.

Cell: 4.996 5.027 5.027 Å, 90.00 90.00 90.00°
Each line ends with the local moment (μB).
Atoms (fractional coordinates):
Er  0.500  0.000  0.000  0.13
Pm  0.000  0.000  0.500  0.05
Pm  0.000  0.500  0.000  0.05
Pu  0.500  0.500  0.500  5.50

=====

No. 9
Below is a geometry-optimized PmErPu2 structure, with properties calculated at the PBE-GGA level.

The electronic total energy comes out at -36.84 eV for the cell shown. The value obtained for the distance to the lowest polymorph of the same formula is 0.095 eV per atom. The energy of formation from the pure elements comes out at 110 kJ/mol of formula units.

Cell: 5.512 5.512 5.512 Å, 60.00 60.00 60.00°
Each line ends with the local moment (μB).
Atoms (fractional coordinates):
Er  0.000  0.000  0.000  0.34
Pm  0.500  0.500  0.500  0.22
Pu  0.250  0.250  0.250  5.55
Pu  0.750  0.750  0.750  5.55

=====

No. 10
Below is a geometry-optimized PmErPu structure, with properties calculated at the PBE-GGA level.

The electronic total energy comes out at -23.29 eV for the cell shown. The value obtained for the distance to the lowest polymorph of the same formula is 0.000 eV per atom. The energy of formation from the pure elements comes out at 34 kJ/mol of formula units.

Cell: 3.525 3.525 7.837 Å, 103.00 103.00 90.00°
Each line ends with the local moment (μB).
Atoms (fractional coordinates):
Pm  0.619  0.619  0.237  -0.02
Pu  0.285  0.285  0.570  5.62
Er  0.946  0.946  0.892  0.07

=====

No. 11
Below is a geometry-optimized PmEr14Pu structure, with properties calculated at the PBE-GGA level.

The electronic total energy comes out at -82.32 eV for the cell shown. The energy of formation from the pure elements comes out at 62 kJ/mol of formula units.

Cell: 7.021 7.021 9.891 Å, 90.00 90.00 89.99°
Each line ends with the local moment (μB).
Atoms (fractional coordinates):
Pm  0.625  0.375  0.500  -0.03
Er  0.125  0.875  0.000  -0.06
Er  0.625  0.375  0.000  -0.15
Er  0.125  0.375  0.500  0.11
Er  0.125  0.375  0.000  -0.05
Er  0.625  0.875  0.500  0.11
Er  0.625  0.875  0.000  -0.05
Er  0.373  0.123  0.750  0.04
Er  0.373  0.123  0.250  0.04
Er  0.877  0.627  0.750  0.04
Er  0.877  0.627  0.250  0.04
Er  0.373  0.627  0.750  0.04
Er  0.373  0.627  0.250  0.04
Er  0.877  0.123  0.750  0.04
Er  0.877  0.123  0.250  0.04
Pu  0.125  0.875  0.500  5.56

=====

No. 12
Below is a geometry-optimized Pm9Er4Pu structure, with properties calculated at the PBE-GGA level.

The electronic total energy comes out at -146.20 eV for the cell shown. The energy of formation from the pure elements comes out at 216 kJ/mol of formula units.

Cell: 11.175 9.848 9.848 Å, 120.00 90.00 90.00°
Each line ends with the local moment (μB).
Atoms (fractional coordinates):
Pm  0.035  0.791  0.582  -0.02
Pm  0.035  0.791  0.209  -0.02
Pm  0.035  0.418  0.209  -0.02
Pm  0.965  0.209  0.418  -0.02
Pm  0.965  0.209  0.791  -0.02
Pm  0.965  0.582  0.791  -0.02
Pm  0.535  0.209  0.418  -0.02
Pm  0.535  0.209  0.791  -0.02
Pm  0.535  0.582  0.791  -0.02
Pm  0.465  0.791  0.582  -0.02
Pm  0.465  0.791  0.209  -0.02
Pm  0.465  0.418  0.209  -0.02
Pm  0.250  0.464  0.928  0.00
Pm  0.250  0.464  0.536  0.00
Pm  0.250  0.072  0.536  0.00
Pm  0.750  0.536  0.072  0.00
Pm  0.750  0.536  0.464  0.00
Pm  0.750  0.928  0.464  0.00
Er  0.250  0.111  0.222  0.06
Er  0.250  0.111  0.889  0.06
Er  0.250  0.778  0.889  0.06
Er  0.750  0.889  0.778  0.06
Er  0.750  0.889  0.111  0.06
Er  0.750  0.222  0.111  0.06
Er  0.000  0.000  0.000  0.12
Er  0.500  0.000  0.000  0.12
Pu  0.250  0.667  0.333  -5.64
Pu  0.750  0.333  0.667  -5.64